Record 1
Material: BaCd2Ga
Method: DFT, PBE
State: relaxed

Lattice parameters (Å, degrees): 6.7532 6.7532 6.7532 41.44 41.44 41.44
Closest atoms and distances in Å follow each position.
Positions (direct):
Ba1 0.0000 0.0000 0.0000  8 Cd 3.58-3.88
Cd1 0.2100 0.2100 0.2100  3 Ga 2.87, 3 Cd 3.19
Cd2 0.7900 0.7900 0.7900  3 Ga 2.87, 3 Cd 3.19
Ga1 0.5000 0.5000 0.5000  6 Cd 2.87

Calculated density, g/cm3: 5.88
Energy, eV per atom: -1.919
Space group: R-3m (166)
Energy of formation, eV/atom: -0.224
V, A^3/atom: 30.476
Magnetic moment, μB per cell: 0.000

=====

Record 2
Material: P2OsSe
Method: DFT, PBE
State: relaxed

Lattice parameters (Å, degrees): 3.0891 3.0891 7.1666 90.00 90.00 90.00
Closest atoms and distances in Å follow each position.
Positions (direct):
P1 0.0000 0.0000 0.0000  4 P 2.41, 4 Os 2.62
P2 0.5000 0.5000 0.1424  4 P 2.41, 1 Os 2.46
Os1 0.5000 0.5000 0.7985  5 P 2.46-2.62, 4 Se 2.73
Se1 0.0000 0.0000 0.5711  4 Os 2.73

Formation energy from raw total energies, eV per atom: 0.412
Calculated density, g/cm3: 8.04
Energy, eV per atom: -5.972
Space group: P4mm (99)
V, A^3/atom: 17.097
Magnetic moment, μB per cell: 0.000

=====

Record 3
Material: NaSm2Zr
Method: DFT, PBE
State: relaxed

Lattice parameters (Å, degrees): 12.1701 12.1701 12.1701 16.29 16.29 16.29
Closest atoms and distances in Å follow each position.
Positions (direct):
Na1 0.0000 0.0000 0.0000  6 Na 3.45
Sm1 0.2402 0.2402 0.2402  3 Zr 3.31, 6 Sm 3.45
Sm2 0.7598 0.7598 0.7598  3 Zr 3.31, 6 Sm 3.45
Zr1 0.5000 0.5000 0.5000  6 Sm 3.31, 6 Zr 3.45

Calculated density, g/cm3: 5.57
Excess energy over the best structure of this formula in the dataset, eV per atom: 0.011
Energy, eV per atom: -4.692
Space group: R-3m (166)
Energy of formation, eV/atom: 0.134
V, A^3/atom: 30.930
Magnetic moment, μB per cell: 0.000

=====

Record 4
Material: La3ZrTe
Method: DFT, PBE
State: relaxed

Lattice parameters (Å, degrees): 5.6546 5.6546 5.6546 90.00 90.00 90.00
Closest atoms and distances in Å follow each position.
Positions (direct):
La1 0.0000 0.0000 0.5000  2 Zr 2.83
La2 0.0000 0.5000 0.0000  2 Zr 2.83
La3 0.5000 0.0000 0.0000  2 Zr 2.83
Zr1 0.0000 0.0000 0.0000  6 La 2.83
Te1 0.5000 0.5000 0.5000  12 La 4.00

Formation energy from raw total energies, eV per atom: 0.067
Calculated density, g/cm3: 5.84
Excess energy over the best structure of this formula in the dataset, eV per atom: 0.000
Energy, eV per atom: -5.227
Space group: Pm-3m (221)
V, A^3/atom: 36.160
Magnetic moment, μB per cell: 0.000

=====

Record 5
Material: DyHoGa2Pd2
Method: DFT, PBE
State: relaxed

Lattice parameters (Å, degrees): 4.5000 4.5000 6.8040 90.00 90.00 120.00
Closest atoms and distances in Å follow each position.
Positions (direct):
Dy1 0.0000 0.0000 0.0000  6 Ga 3.12, 6 Pd 3.12, 2 Ho 3.40
Ho1 0.0000 0.0000 0.5000  6 Pd 3.09, 6 Ga 3.10, 2 Dy 3.40
Ga1 0.3333 0.6667 0.7474  3 Pd 2.60
Ga2 0.6667 0.3333 0.2526  3 Pd 2.60
Pd1 0.3333 0.6667 0.2535  3 Ga 2.60
Pd2 0.6667 0.3333 0.7465  3 Ga 2.60

Calculated density, g/cm3: 9.46
Energy, eV per atom: -5.130
Space group: P-3m1 (164)
Energy of formation, eV/atom: -0.861
V, A^3/atom: 19.887
Magnetic moment, μB per cell: 0.000

=====

Record 6
Material: NaTlC
Method: DFT, PBE
State: relaxed

Lattice parameters (Å, degrees): 3.9221 3.9221 9.1679 90.00 90.00 120.00
Closest atoms and distances in Å follow each position.
Positions (direct):
Na1 0.0000 0.0000 0.0000  3 C 2.94, 6 Tl 3.17-3.27
Na2 0.0000 0.0000 0.5000  3 C 2.94, 6 Tl 3.17-3.27
Tl1 0.3333 0.6667 0.2420  3 C 2.29
Tl2 0.6667 0.3333 0.7420  3 C 2.29
C1 0.3333 0.6667 0.7044  3 Tl 2.29
C2 0.6667 0.3333 0.2044  3 Tl 2.29

Calculated density, g/cm3: 6.51
Energy, eV per atom: -3.254
Space group: P6_3mc (186)
Energy of formation, eV/atom: 1.049
V, A^3/atom: 20.356
Magnetic moment, μB per cell: 0.000

=====

- Among the records above, which one has the lowest calculated density?
  NaSm2Zr

=====

What did the sixth record say?
Material: NaTlC
Method: DFT, PBE
State: relaxed

Lattice parameters (Å, degrees): 3.9221 3.9221 9.1679 90.00 90.00 120.00
Closest atoms and distances in Å follow each position.
Positions (direct):
Na1 0.0000 0.0000 0.0000  3 C 2.94, 6 Tl 3.17-3.27
Na2 0.0000 0.0000 0.5000  3 C 2.94, 6 Tl 3.17-3.27
Tl1 0.3333 0.6667 0.2420  3 C 2.29
Tl2 0.6667 0.3333 0.7420  3 C 2.29
C1 0.3333 0.6667 0.7044  3 Tl 2.29
C2 0.6667 0.3333 0.2044  3 Tl 2.29

Calculated density, g/cm3: 6.51
Energy, eV per atom: -3.254
Space group: P6_3mc (186)
Energy of formation, eV/atom: 1.049
V, A^3/atom: 20.356
Magnetic moment, μB per cell: 0.000

=====

- What is the formula in the second record?
  P2OsSe

=====

- Which value of magnetic moment does entry 3 give?
  0.000 μB per cell